A relaxed KMoOsCl2 crystal, computed with PBE-GGA.

It has space group P4/mmm (No. 123), with a = 4.9826 Å, b = 4.9826 Å, c = 5.4143 Å, α = 90.00°, β = 90.00° and γ = 90.00°. The distinct sites, in fractional coordinates, are K at (0.0000, 0.0000, 0.0000), Mo at (0.5000, 0.5000, 0.5000), Os at (0.0000, 0.0000, 0.5000) and Cl at (0.0000, 0.5000, 0.0000).

For the total moment, the calculation gives 0.000 μB/atom. For the uncorrected formation energy, the calculation gives 2.4180 eV per atom.

=====

A relaxed KMoP2Cl crystal, computed with PBE-GGA.

It has space group P4/mmm (No. 123), with a = 4.6586 Å, b = 4.6586 Å, c = 5.4875 Å, α = 90.00°, β = 90.00° and γ = 90.00°. The distinct sites, in fractional coordinates, are K at (0.0000, 0.0000, 0.0000), Mo at (0.5000, 0.5000, 0.5000), P at (0.0000, 0.5000, 0.5000) and Cl at (0.5000, 0.5000, 0.0000).

For the total moment, the calculation gives 0.000 μB/atom. For the uncorrected formation energy, the calculation gives -0.3222 eV per atom. The value obtained for the energy above the lowest structure with this stoichiometry is 0 meV/atom.

=====

A relaxed KMoP2Cl crystal, computed with PBE-GGA.

It has space group P4/mmm (No. 123), with a = 5.1489 Å, b = 5.1489 Å, c = 5.0840 Å, α = 90.00°, β = 90.00° and γ = 90.00°. The distinct sites, in fractional coordinates, are K at (0.0000, 0.0000, 0.0000), Mo at (0.5000, 0.5000, 0.5000), P at (0.0000, 0.5000, 0.0000) and Cl at (0.0000, 0.0000, 0.5000).

For the total moment, the calculation gives 0.061 μB/atom. For the uncorrected formation energy, the calculation gives 2.0964 eV per atom. The value obtained for the energy above the lowest structure with this stoichiometry is 2419 meV/atom.

=====

A relaxed K2MoPbCl8 crystal, computed with PBE-GGA.

It has space group P2/m (No. 10), with a = 6.6067 Å, b = 8.5717 Å, c = 7.0295 Å, α = 90.00°, β = 91.55° and γ = 90.00°. The distinct sites, in fractional coordinates, are K at (0.0000, 0.2424, 0.0000), Mo at (0.5000, 0.0000, 0.5000), Pb at (0.5000, 0.5000, 0.5000), Cl at (0.2459, 0.5000, 0.1795), Cl at (0.2868, 0.2033, 0.6255) and Cl at (0.3038, 0.0000, 0.2114).

For the total moment, the calculation gives 0.167 μB/atom. For the uncorrected formation energy, the calculation gives -1.2695 eV per atom.